Below is an optimized crystal structure of PmAl4Zn2Ir, with properties calculated at the PBE-GGA level.

Output
ΔE_f ... -0.41 eV per atom

Cell and atoms, written as CIF:
```
data_PmAl4Zn2Ir
_chemical_formula_sum 'Pm1 Al4 Zn2 Ir1'
_cell_length_a 4.305
_cell_length_b 4.305
_cell_length_c 9.550
_cell_angle_alpha 76.97
_cell_angle_beta 76.97
_cell_angle_gamma 60.00
_symmetry_space_group_name_H-M 'P 1'
_symmetry_Int_Tables_number 1
_symmetry_space_group_name_Hall 'P 1'
loop_
_atom_site_label
_atom_site_fract_x
_atom_site_fract_y
_atom_site_fract_z
_atom_site_occupancy
Al1 0.410 0.410 0.771 1
Al2 0.590 0.590 0.229 1
Al3 0.863 0.863 0.410 1
Al4 0.137 0.137 0.590 1
Pm1 0.000 0.000 0.000 1
Ir1 0.500 0.500 0.500 1
Zn1 0.733 0.733 0.800 1
Zn2 0.267 0.267 0.200 1
```

---

Below is an optimized crystal structure of Tl2InCoP, with properties calculated at the PBE-GGA level.

Output
ΔE_f ... 1.15 eV per atom

Cell and atoms, written as CIF:
```
data_Tl2InCoP
_chemical_formula_sum 'Tl2 In1 Co1 P1'
_cell_length_a 5.690
_cell_length_b 4.859
_cell_length_c 5.690
_cell_angle_alpha 90.00
_cell_angle_beta 90.00
_cell_angle_gamma 90.00
_symmetry_space_group_name_H-M 'P 1'
_symmetry_Int_Tables_number 1
_symmetry_space_group_name_Hall 'P 1'
loop_
_atom_site_label
_atom_site_fract_x
_atom_site_fract_y
_atom_site_fract_z
_atom_site_occupancy
Tl1 0.500 0.000 0.000 1
Tl2 0.000 0.000 0.500 1
P1 0.500 0.500 0.500 1
Co1 0.000 0.500 0.000 1
In1 0.000 0.000 0.000 1
```

---

Below is an optimized crystal structure of MgCuBr2Cl, with properties calculated at the PBE-GGA level.

Output
Final energy ... -2.74 eV/atom

Cell and atoms, written as CIF:
```
data_MgCuBr2Cl
_chemical_formula_sum 'Mg1 Cu1 Br2 Cl1'
_cell_length_a 5.265
_cell_length_b 4.675
_cell_length_c 5.265
_cell_angle_alpha 90.00
_cell_angle_beta 90.00
_cell_angle_gamma 90.00
_symmetry_space_group_name_H-M 'P 1'
_symmetry_Int_Tables_number 1
_symmetry_space_group_name_Hall 'P 1'
loop_
_atom_site_label
_atom_site_fract_x
_atom_site_fract_y
_atom_site_fract_z
_atom_site_occupancy
Br1 0.500 0.000 0.000 1
Br2 0.000 0.000 0.500 1
Cl1 0.000 0.500 0.000 1
Cu1 0.500 0.500 0.500 1
Mg1 0.000 0.000 0.000 1
```

---

Below is an optimized crystal structure of La2PrSmIn2, with properties calculated at the PBE-GGA level.

Output
ΔE_f ... -0.36 eV per atom

Cell and atoms, written as CIF:
```
data_La2PrSmIn2
_chemical_formula_sum 'La4 Pr2 Sm2 In4'
_cell_length_a 5.290
_cell_length_b 6.911
_cell_length_c 10.437
_cell_angle_alpha 90.00
_cell_angle_beta 90.00
_cell_angle_gamma 90.00
_symmetry_space_group_name_H-M 'P 1'
_symmetry_Int_Tables_number 1
_symmetry_space_group_name_Hall 'P 1'
loop_
_atom_site_label
_atom_site_fract_x
_atom_site_fract_y
_atom_site_fract_z
_atom_site_occupancy
In1 0.000 0.797 0.143 1
In2 0.000 0.297 0.857 1
In3 0.500 0.217 0.376 1
In4 0.500 0.717 0.624 1
La1 0.000 0.811 0.822 1
La2 0.500 0.082 0.056 1
La3 0.000 0.311 0.178 1
La4 0.500 0.582 0.944 1
Sm1 0.500 0.185 0.689 1
Sm2 0.500 0.685 0.311 1
Pr1 0.000 0.454 0.542 1
Pr2 0.000 0.954 0.458 1
```

---

Below is an optimized crystal structure of RbZrNbO2, with properties calculated at the PBE-GGA level.

Output
Energy above the most stable polymorph in this dataset ... 154 meV/atom

Cell and atoms, written as CIF:
```
data_RbZrNbO2
_chemical_formula_sum 'Rb1 Zr1 Nb1 O2'
_cell_length_a 4.074
_cell_length_b 6.915
_cell_length_c 4.074
_cell_angle_alpha 90.00
_cell_angle_beta 90.00
_cell_angle_gamma 90.00
_symmetry_space_group_name_H-M 'P 1'
_symmetry_Int_Tables_number 1
_symmetry_space_group_name_Hall 'P 1'
loop_
_atom_site_label
_atom_site_fract_x
_atom_site_fract_y
_atom_site_fract_z
_atom_site_occupancy
O1 0.500 0.000 0.000 1
O2 0.000 0.000 0.500 1
Zr1 0.500 0.500 0.500 1
Nb1 0.000 0.000 0.000 1
Rb1 0.000 0.500 0.000 1
```

---

Below is an optimized crystal structure of BaCa2Tl2Sn2, with properties calculated at the PBE-GGA level.

Output
ΔE_f ... -0.39 eV per atom

Cell and atoms, written as CIF:
```
data_BaCa2Tl2Sn2
_chemical_formula_sum 'Ba1 Ca2 Tl2 Sn2'
_cell_length_a 5.417
_cell_length_b 5.417
_cell_length_c 9.962
_cell_angle_alpha 74.22
_cell_angle_beta 74.22
_cell_angle_gamma 60.00
_symmetry_space_group_name_H-M 'P 1'
_symmetry_Int_Tables_number 1
_symmetry_space_group_name_Hall 'P 1'
loop_
_atom_site_label
_atom_site_fract_x
_atom_site_fract_y
_atom_site_fract_z
_atom_site_occupancy
Ca1 0.865 0.865 0.404 1
Ca2 0.135 0.135 0.596 1
Ba1 0.000 0.000 0.000 1
Tl1 0.434 0.434 0.699 1
Tl2 0.566 0.566 0.301 1
Sn1 0.747 0.747 0.758 1
Sn2 0.253 0.253 0.242 1
```